1.
Entry from Alexandria via LeMat-Bulk: a geometry-optimized Bi5Pt4 structure (PBE).

Unit cell a=3.4998 b=7.9027 c=7.9027 alpha=87.34 beta=77.29 gamma=77.29
Last column: nearest neighbours and their distance in Å.
Atoms (fractional coordinates):
Bi (0.0000, 0.9682, 0.0318)  4 Pt 2.93-2.94
Bi (0.0000, 0.3652, 0.6348)  4 Pt 2.93-2.94
Bi (0.6976, 0.9683, 0.6350)  4 Pt 2.94, 1 Bi 3.29
Bi (0.0000, 0.6667, 0.3333)  8 Pt 3.23-3.24, 6 Bi 3.29-3.50
Bi (0.3024, 0.3650, 0.0317)  4 Pt 2.94, 1 Bi 3.29
Pt (0.3229, 0.6667, 0.6866)  2 Pt 2.86, 4 Bi 2.93-2.94
Pt (0.6771, 0.3134, 0.3333)  2 Pt 2.86, 4 Bi 2.93-2.94
Pt (0.3229, 0.0199, 0.3334)  2 Pt 2.86, 4 Bi 2.93-2.94
Pt (0.6771, 0.6666, 0.9801)  2 Pt 2.86, 4 Bi 2.93-2.94

Results
As for the space group: C2/m. Its formation energy is -0.560 eV per formula unit. The total energy comes out at -4.903 eV/atom.

=====

2.
Entry from Alexandria via LeMat-Bulk: a geometry-optimized NaSr2ZnIn structure (PBE).

Unit cell a=6.2075 b=6.2075 c=5.0211 alpha=90.00 beta=90.00 gamma=90.00
Last column: nearest neighbours and their distance in Å.
Atoms (fractional coordinates):
Na (0.5000, 0.5000, 0.5000)  8 Sr 3.99, 4 In 4.39
Sr (0.0000, 0.5000, 0.0000)  2 Zn 3.10
Sr (0.5000, 0.0000, 0.0000)  2 Zn 3.10
In (0.0000, 0.0000, 0.5000)  2 Zn 2.51
Zn (0.0000, 0.0000, 0.0000)  2 In 2.51

Results
As for the space group: P4/mmm. Its formation energy is -0.288 eV per formula unit. The total energy comes out at -1.797 eV/atom.